VASP calculation (PBE-GGA) on a relaxed Nd3Ge3Ir2 crystal.

Its total magnetic moment is 0.00 μB per formula unit.

CIF file:
```
data_Nd3Ge3Ir2
_space_group_name_H-M_alt 'C m c m'
_space_group_IT_number 63
_space_group_name_Hall '-C 2c 2'
_cell_length_a 4.383
_cell_length_b 10.924
_cell_length_c 14.678
_cell_angle_alpha 90.00
_cell_angle_beta 90.00
_cell_angle_gamma 90.00
loop_
_atom_site_label
_atom_site_fract_x
_atom_site_fract_y
_atom_site_fract_z
Nd1 0.000 0.082 0.110
Nd2 0.000 0.358 0.250
Ge1 0.000 0.338 0.750
Ge2 0.000 0.367 0.035
Ir1 0.000 0.202 0.602
```



VASP calculation (PBE-GGA) on a relaxed TaCoNi2 crystal.

As for the calculated formation energy: -0.62 eV per formula unit. Its total magnetic moment is 0.01 μB per formula unit.

CIF file:
```
data_TaCoNi2
_space_group_name_H-M_alt 'F -4 3 m'
_space_group_IT_number 216
_space_group_name_Hall 'F -4 2 3'
_cell_length_a 5.820
_cell_length_b 5.820
_cell_length_c 5.820
_cell_angle_alpha 90.00
_cell_angle_beta 90.00
_cell_angle_gamma 90.00
loop_
_atom_site_label
_atom_site_fract_x
_atom_site_fract_y
_atom_site_fract_z
Ta1 0.000 0.000 0.000
Co1 0.250 0.250 0.250
Ni1 0.000 0.000 0.500
Ni2 0.250 0.250 0.750
```



VASP calculation (PBE-GGA) on a relaxed DyTmGa2I2 crystal.

Its total magnetic moment is 0.01 μB per formula unit.

CIF file:
```
data_DyTmGa2I2
_space_group_name_H-M_alt 'P 3 m 1'
_space_group_IT_number 156
_cell_length_a 4.1790
_cell_length_b 4.1790
_cell_length_c 12.0889
_cell_angle_alpha 90.00
_cell_angle_beta 90.00
_cell_angle_gamma 120.00
loop_
_space_group_symop_operation_xyz
'x,y,z'
'-y,x-y,z'
'-x+y,-x,z'
'-y,-x,z'
'-x+y,y,z'
'x,x-y,z'
loop_
_atom_site_label
_atom_site_fract_x
_atom_site_fract_y
_atom_site_fract_z
Dy1 0.0000 0.0000 0.0000
Tm1 0.0000 0.0000 0.6700
Ga1 0.3333 0.6667 0.8627
Ga2 0.6667 0.3333 0.8056
I1 0.3333 0.6667 0.5067
I2 0.6667 0.3333 0.1650
```



VASP calculation (PBE-GGA) on a relaxed Dy7Pt2Se2 crystal.

Its total magnetic moment is 0.01 μB per formula unit.

CIF file:
```
data_Dy7Pt2Se2
_space_group_name_H-M_alt 'I m m 2'
_space_group_IT_number 44
_cell_length_a 3.890
_cell_length_b 15.282
_cell_length_c 9.370
_cell_angle_alpha 90.00
_cell_angle_beta 90.00
_cell_angle_gamma 90.00
loop_
_space_group_symop_operation_xyz
'x,y,z'
'-x,-y,z'
'-x,y,z'
'x,-y,z'
'x+1/2,y+1/2,z+1/2'
'-x+1/2,-y+1/2,z+1/2'
'-x+1/2,y+1/2,z+1/2'
'x+1/2,-y+1/2,z+1/2'
loop_
_atom_site_label
_atom_site_fract_x
_atom_site_fract_y
_atom_site_fract_z
Dy1 0.000 0.000 0.000
Dy2 0.000 0.122 0.410
Dy3 0.000 0.319 0.619
Dy4 0.000 0.363 0.256
Pt1 0.000 0.240 0.919
Se1 0.000 0.000 0.661
Se2 0.000 0.500 0.755
```



VASP calculation (PBE-GGA) on a relaxed NaTbBe crystal.

Its total magnetic moment is 0.00 μB per formula unit.

CIF file:
```
data_NaTbBe
_space_group_name_H-M_alt 'F -4 3 m'
_space_group_IT_number 216
_space_group_name_Hall 'F -4 2 3'
_cell_length_a 6.683
_cell_length_b 6.683
_cell_length_c 6.683
_cell_angle_alpha 90.00
_cell_angle_beta 90.00
_cell_angle_gamma 90.00
loop_
_atom_site_label
_atom_site_fract_x
_atom_site_fract_y
_atom_site_fract_z
Na1 0.000 0.000 0.000
Tb1 0.000 0.000 0.500
Be1 0.250 0.250 0.250
```



VASP calculation (PBE-GGA) on a relaxed LaNd2Nb2P6 crystal.

Its total magnetic moment is 0.00 μB per formula unit.

CIF file:
```
data_LaNd2Nb2P6
_space_group_name_H-M_alt 'I 4/m m m'
_space_group_IT_number 139
_space_group_name_Hall '-I 4 2'
_cell_length_a 4.753
_cell_length_b 4.753
_cell_length_c 23.053
_cell_angle_alpha 90.00
_cell_angle_beta 90.00
_cell_angle_gamma 90.00
loop_
_atom_site_label
_atom_site_fract_x
_atom_site_fract_y
_atom_site_fract_z
La1 0.000 0.000 0.000
Nd1 0.000 0.000 0.168
Nb1 0.000 0.000 0.393
P1 0.000 0.000 0.293
P2 0.000 0.500 0.082
```



VASP calculation (PBE-GGA) on a relaxed PrDy2Cd3Ir2Pt crystal.

As for the calculated formation energy: -5.79 eV per formula unit. Its total magnetic moment is 0.00 μB per formula unit.

CIF file:
```
data_PrDy2Cd3Ir2Pt
_space_group_name_H-M_alt 'A m m 2'
_space_group_IT_number 38
_cell_length_a 3.992
_cell_length_b 13.095
_cell_length_c 7.522
_cell_angle_alpha 90.00
_cell_angle_beta 90.00
_cell_angle_gamma 90.00
loop_
_space_group_symop_operation_xyz
'x,y,z'
'-x,-y,z'
'-x,y,z'
'x,-y,z'
'x,y+1/2,z+1/2'
'-x,-y+1/2,z+1/2'
'-x,y+1/2,z+1/2'
'x,-y+1/2,z+1/2'
loop_
_atom_site_label
_atom_site_fract_x
_atom_site_fract_y
_atom_site_fract_z
Pr1 0.000 0.000 0.000
Dy1 0.000 0.204 0.386
Cd1 0.500 0.000 0.334
Cd2 0.500 0.128 0.718
Ir1 0.500 0.171 0.092
Pt1 0.000 0.000 0.584
```



VASP calculation (PBE-GGA) on a relaxed Cu2Ag3 crystal.

As for the calculated formation energy: 0.26 eV per formula unit.

CIF file:
```
data_Cu2Ag3
_space_group_name_H-M_alt 'P 4/n m m'
_space_group_IT_number 129
_cell_length_a 2.873
_cell_length_b 2.873
_cell_length_c 18.747
_cell_angle_alpha 90.00
_cell_angle_beta 90.00
_cell_angle_gamma 90.00
loop_
_space_group_symop_operation_xyz
'x,y,z'
'-x,-y,-z'
'-y+1/2,x,z'
'y+1/2,-x,-z'
'-x+1/2,-y+1/2,z'
'x+1/2,y+1/2,-z'
'y,-x+1/2,z'
'-y,x+1/2,-z'
'x+1/2,-y,-z'
'-x+1/2,y,z'
'-y,-x,-z'
'y,x,z'
'-x,y+1/2,-z'
'x,-y+1/2,z'
'y+1/2,x+1/2,-z'
'-y+1/2,-x+1/2,z'
loop_
_atom_site_label
_atom_site_fract_x
_atom_site_fract_y
_atom_site_fract_z
Cu1 0.250 0.250 0.156
Cu2 0.250 0.250 0.766
Ag1 0.250 0.250 0.331
Ag2 0.250 0.250 0.556
Ag3 0.250 0.250 0.942
```



Calculated raw total energy in order - -52.57 -30.72 -24.25 -63.91 -7.79 -77.44 -46.22 -15.65 eV per formula unit